1.
This record from Alexandria describes a geometry-optimized LaZr2W structure. The functional is PBE.

Lattice parameters (Å, degrees): 3.1264 4.7595 6.4805 90.00 101.47 90.00
Positions (direct):
La: 0.0000 0.0000 0.0000
Zr: 0.4269 0.5000 0.6771
Zr: 0.9027 0.0000 0.4623
W: 0.5396 0.5000 0.2654

Computed properties:
ΔE_f = 391 meV per atom
SG = Pm, No. 6

2.
This record from Alexandria describes a geometry-optimized CaZn2Pd5 structure. The functional is PBE.

Lattice parameters (Å, degrees): 3.8371 7.1734 10.2822 90.00 90.00 90.00
Positions (direct):
Ca: 0.0000 0.0000 0.0000
Ca: 0.5000 0.5000 0.5000
Zn: 0.0000 0.5000 0.2443
Zn: 0.0000 0.5000 0.7557
Zn: 0.5000 0.0000 0.2557
Zn: 0.5000 0.0000 0.7443
Pd: 0.0000 0.1972 0.3593
Pd: 0.0000 0.1972 0.6407
Pd: 0.0000 0.5000 0.0000
Pd: 0.0000 0.8028 0.3593
Pd: 0.0000 0.8028 0.6407
Pd: 0.5000 0.0000 0.5000
Pd: 0.5000 0.3028 0.1407
Pd: 0.5000 0.3028 0.8593
Pd: 0.5000 0.6972 0.1407
Pd: 0.5000 0.6972 0.8593

Computed properties:
ΔE_f = -437 meV per atom
SG = Immm, No. 71

3.
This record from Alexandria describes a geometry-optimized LaMgTc2 structure. The functional is PBE.

Lattice parameters (Å, degrees): 6.2536 9.0218 2.7263 90.00 90.00 90.00
Positions (direct):
La: 0.0000 0.0000 0.0000
La: 0.5000 0.5000 0.0000
Mg: 0.0000 0.5000 0.0000
Mg: 0.5000 0.0000 0.0000
Tc: 0.2500 0.2500 0.5000
Tc: 0.2500 0.7500 0.5000
Tc: 0.7500 0.2500 0.5000
Tc: 0.7500 0.7500 0.5000

Computed properties:
ΔE_f = 581 meV per atom
SG = Cmmm, No. 65